A relaxed Li4AgP2Pd crystal, computed with PBE.

calculated total energy = -3.841 eV/atom
symmetry = P-4m2 (115)

Lattice parameters (Å, degrees): 4.221 4.221 6.005 90.00 90.00 90.00
Fractional coordinates of all 8 atoms:
Li 0.000 0.500 0.739
Li 0.000 0.000 0.500
Li 0.500 0.000 0.261
Li 0.500 0.500 0.000
Ag 0.000 0.000 0.000
P 0.500 0.000 0.737
P 0.000 0.500 0.263
Pd 0.500 0.500 0.500

=====

A relaxed NdSbOs crystal, computed with PBE.

calculated total energy = -5.901 eV/atom
symmetry = F-43m (216)

Lattice parameters (Å, degrees): 4.885 4.885 4.885 60.00 60.00 60.00
Fractional coordinates of all 3 atoms:
Nd 0.000 0.000 0.000
Os 0.250 0.250 0.250
Sb 0.750 0.750 0.750

=====

A relaxed Dy2Fe crystal, computed with PBE.

calculated total energy = -5.638 eV/atom
symmetry = Fm-3m (225)
energy relative to the elements = 0.20 eV per atom

Lattice parameters (Å, degrees): 4.662 4.662 4.662 60.00 60.00 60.00
Fractional coordinates of all 3 atoms:
Dy 0.250 0.250 0.250
Dy 0.750 0.750 0.750
Fe 0.000 0.000 0.000

=====

A relaxed SrLuAuSe3 crystal, computed with PBE.

distance to the lowest polymorph of the same formula = 24 meV/atom
calculated total energy = -4.751 eV/atom
symmetry = Cmcm (63)

Lattice parameters (Å, degrees): 7.179 7.179 10.589 90.00 90.00 33.21
Fractional coordinates of all 12 atoms:
Se 0.088 0.088 0.250
Se 0.359 0.359 0.047
Se 0.641 0.641 0.547
Se 0.359 0.359 0.453
Se 0.641 0.641 0.953
Se 0.912 0.912 0.750
Au 0.463 0.463 0.250
Au 0.537 0.537 0.750
Sr 0.242 0.242 0.750
Sr 0.758 0.758 0.250
Lu 0.000 0.000 0.000
Lu 0.000 0.000 0.500

=====

A relaxed Hf2SbP crystal, computed with PBE.

distance to the lowest polymorph of the same formula = 250 meV/atom
calculated total energy = -8.098 eV/atom
symmetry = P6_3/mmc (194)

Lattice parameters (Å, degrees): 3.774 3.774 13.839 90.00 90.00 120.00
Fractional coordinates of all 8 atoms:
Hf 0.667 0.333 0.861
Hf 0.333 0.667 0.361
Hf 0.667 0.333 0.639
Hf 0.333 0.667 0.139
P 0.333 0.667 0.750
P 0.667 0.333 0.250
Sb 0.000 0.000 0.000
Sb 0.000 0.000 0.500

=====

A relaxed NaSmPt crystal, computed with PBE.

distance to the lowest polymorph of the same formula = 396 meV/atom
calculated total energy = -4.161 eV/atom
symmetry = F-43m (216)

Lattice parameters (Å, degrees): 4.814 4.814 4.814 60.00 60.00 60.00
Fractional coordinates of all 3 atoms:
Sm 0.000 0.000 0.000
Pt 0.750 0.750 0.750
Na 0.250 0.250 0.250

=====

A relaxed Dy2HoB2Pd2N3 crystal, computed with PBE.

calculated total energy = -7.419 eV/atom
symmetry = I4/mmm (139)

Lattice parameters (Å, degrees): 10.436 10.436 10.436 159.95 159.95 28.51
Fractional coordinates of all 10 atoms:
Ho 0.000 0.000 0.000
B 0.816 0.816 0.000
B 0.184 0.184 0.000
Pd 0.750 0.250 0.500
Pd 0.250 0.750 0.500
N 0.113 0.113 0.000
N 0.887 0.887 0.000
N 0.500 0.500 0.000
Dy 0.382 0.382 0.000
Dy 0.618 0.618 0.000

=====

A relaxed HfHgNO crystal, computed with PBE.

distance to the lowest polymorph of the same formula = 589 meV/atom
calculated total energy = -6.534 eV/atom
symmetry = P4/nmm (129)

Lattice parameters (Å, degrees): 4.367 4.367 5.890 90.00 90.00 90.00
Fractional coordinates of all 8 atoms:
Hg 0.750 0.750 0.872
Hg 0.250 0.250 0.128
Hf 0.750 0.250 0.500
Hf 0.250 0.750 0.500
N 0.250 0.250 0.562
N 0.750 0.750 0.438
O 0.750 0.250 0.000
O 0.250 0.750 0.000